An optimized crystal structure of Zn2AgAu2, computed with GGA-PBEsol.

The total DFT energy (no corrections) comes out at -3.013 eV/atom.

abc: 7.441 7.441 2.912
angles: 90.00 90.00 90.00
Sites, in units of the cell vectors:
Zn 0.160 0.340 0.000
Zn 0.340 0.840 0.000
Zn 0.660 0.160 0.000
Zn 0.840 0.660 0.000
Ag 0.000 0.000 0.500
Ag 0.500 0.500 0.500
Au 0.139 0.639 0.500
Au 0.361 0.139 0.500
Au 0.639 0.861 0.500
Au 0.861 0.361 0.500



An optimized crystal structure of SrTl2Ru, computed with GGA-PBEsol.

The total DFT energy (no corrections) comes out at -4.072 eV/atom.

abc: 4.660 4.660 8.266
angles: 90.00 90.00 90.00
Sites, in units of the cell vectors:
Sr 0.000 0.000 0.000
Sr 0.500 0.500 0.500
Tl 0.000 0.500 0.250
Tl 0.000 0.500 0.750
Tl 0.500 0.000 0.250
Tl 0.500 0.000 0.750
Ru 0.000 0.000 0.500
Ru 0.500 0.500 0.000



An optimized crystal structure of Na3YTe, computed with GGA-PBEsol.

For the uncorrected formation energy, the calculation gives 0.150 eV per atom. The total DFT energy (no corrections) comes out at -2.760 eV/atom.

abc: 5.793 5.793 5.793
angles: 90.00 90.00 90.00
Sites, in units of the cell vectors:
Na 0.000 0.000 0.500
Na 0.000 0.500 0.000
Na 0.500 0.000 0.000
Y 0.500 0.500 0.500
Te 0.000 0.000 0.000



An optimized crystal structure of MnSi3Bi, computed with GGA-PBEsol.

For the uncorrected formation energy, the calculation gives 1.880 eV per atom. The total DFT energy (no corrections) comes out at -4.377 eV/atom.

abc: 5.227 5.227 5.227
angles: 90.00 90.00 90.00
Sites, in units of the cell vectors:
Mn 0.000 0.000 0.000
Si 0.000 0.500 0.500
Si 0.500 0.000 0.500
Si 0.500 0.500 0.000
Bi 0.500 0.500 0.500